# 1
Computed, not measured: a relaxed Th2PdC crystal at the GGA-PBE level of DFT.

Cell lengths 3.7380, 3.7380, 7.5872 Å; angles 75.74, 75.74, 60.00 degrees
Element x y z (fractional)
Th: 0.0961 0.0961 0.7117
Th: 0.2406 0.2406 0.2782
Pd: 0.6686 0.6686 0.9942
C: 0.4947 0.4947 0.5159

Computed properties:
* final energy: -7.502 eV per atom
* energy above the most stable polymorph in this dataset: 212 meV per atom
* energy of formation from the pure elements: -188 meV/atom



# 2
Computed, not measured: a relaxed Ba2NaGaAu crystal at the GGA-PBE level of DFT.

Cell lengths 6.5099, 6.5099, 4.9239 Å; angles 90.00, 90.00, 90.00 degrees
Element x y z (fractional)
Na: 0.5000 0.5000 0.5000
Au: 0.0000 0.0000 0.0000
Ba: 0.0000 0.5000 0.0000
Ba: 0.5000 0.0000 0.0000
Ga: 0.0000 0.0000 0.5000

Computed properties:
* final energy: -2.569 eV per atom
* energy of formation from the pure elements: -275 meV/atom



# 3
Computed, not measured: a relaxed BPC crystal at the GGA-PBE level of DFT.

Cell lengths 3.1811, 3.1811, 11.8159 Å; angles 90.00, 90.00, 120.00 degrees
Element x y z (fractional)
P: 0.0000 0.0000 0.2339
P: 0.3333 0.6667 0.9006
P: 0.6667 0.3333 0.5672
C: 0.0000 0.0000 0.0917
C: 0.3333 0.6667 0.7584
C: 0.6667 0.3333 0.4251
B: 0.0000 0.0000 0.9679
B: 0.3333 0.6667 0.6345
B: 0.6667 0.3333 0.3012

Computed properties:
* final energy: -6.465 eV per atom
* energy above the most stable polymorph in this dataset: 402 meV per atom
* energy of formation from the pure elements: 639 meV/atom



# 4
Computed, not measured: a relaxed LiPmLuPb crystal at the GGA-PBE level of DFT.

Cell lengths 5.3079, 5.3079, 5.3079 Å; angles 60.00, 60.00, 60.00 degrees
Element x y z (fractional)
Pb: 0.2500 0.2500 0.2500
Lu: 0.5000 0.5000 0.5000
Li: 0.7500 0.7500 0.7500
Pm: 0.0000 0.0000 0.0000

Computed properties:
* final energy: -3.971 eV per atom
* energy of formation from the pure elements: -248 meV/atom



# 5
Computed, not measured: a relaxed Pr5GaBi3 crystal at the GGA-PBE level of DFT.

Cell lengths 6.6544, 9.7939, 9.7939 Å; angles 120.00, 90.00, 90.00 degrees
Element x y z (fractional)
Pr: 0.0000 0.3333 0.6667
Pr: 0.5000 0.6667 0.3333
Pr: 0.0000 0.6667 0.3333
Pr: 0.5000 0.3333 0.6667
Pr: 0.7500 0.7414 0.0000
Pr: 0.7500 0.2586 0.2586
Pr: 0.7500 0.0000 0.7414
Pr: 0.2500 0.2586 0.0000
Pr: 0.2500 0.7414 0.7414
Pr: 0.2500 0.0000 0.2586
Ga: 0.0000 0.0000 0.0000
Ga: 0.5000 0.0000 0.0000
Bi: 0.7500 0.3847 0.0000
Bi: 0.7500 0.6153 0.6153
Bi: 0.7500 0.0000 0.3847
Bi: 0.2500 0.6153 0.0000
Bi: 0.2500 0.3847 0.3847
Bi: 0.2500 0.0000 0.6153

Computed properties:
* final energy: -5.095 eV per atom
* energy of formation from the pure elements: -809 meV/atom



# 6
Computed, not measured: a relaxed AlVBr crystal at the GGA-PBE level of DFT.

Cell lengths 3.1446, 3.1444, 13.4156 Å; angles 90.00, 90.00, 120.00 degrees
Element x y z (fractional)
V: 0.4453 0.8907 0.0000
V: 0.4437 0.8873 0.5000
Al: 0.7769 0.5538 0.3576
Al: 0.7769 0.5538 0.6424
Br: 0.1119 0.2238 0.8675
Br: 0.1119 0.2238 0.1325

Computed properties:
* uncorrected formation energy: 96 meV/atom
* final energy: -4.748 eV per atom



# 7
Computed, not measured: a relaxed ZnPPtO2 crystal at the GGA-PBE level of DFT.

Cell lengths 3.5755, 3.5755, 7.0178 Å; angles 90.00, 90.00, 90.00 degrees
Element x y z (fractional)
P: 0.0000 0.0000 0.5000
Zn: 0.0000 0.0000 0.0000
O: 0.0000 0.5000 0.0000
O: 0.5000 0.0000 0.0000
Pt: 0.5000 0.5000 0.5000

Computed properties:
* uncorrected formation energy: 268 meV/atom
* final energy: -4.260 eV per atom
* energy above the most stable polymorph in this dataset: 141 meV per atom



# 8
Computed, not measured: a relaxed Li6TmPd12 crystal at the GGA-PBE level of DFT.

Cell lengths 7.3666, 7.3666, 7.3666 Å; angles 110.95, 110.95, 110.95 degrees
Element x y z (fractional)
Li: 0.6422 0.9468 0.4370
Li: 0.5630 0.3578 0.0532
Li: 0.0532 0.5630 0.3578
Li: 0.3578 0.0532 0.5630
Li: 0.4370 0.6422 0.9468
Li: 0.9468 0.4370 0.6422
Tm: 0.0000 0.0000 0.0000
Pd: 0.7888 0.6810 0.5181
Pd: 0.5181 0.7888 0.6810
Pd: 0.6810 0.5181 0.7888
Pd: 0.2112 0.3190 0.4819
Pd: 0.4819 0.2112 0.3190
Pd: 0.3190 0.4819 0.2112
Pd: 0.8986 0.8314 0.2666
Pd: 0.1686 0.7334 0.1014
Pd: 0.7334 0.1014 0.1686
Pd: 0.1014 0.1686 0.7334
Pd: 0.8314 0.2666 0.8986
Pd: 0.2666 0.8986 0.8314

Computed properties:
* final energy: -4.556 eV per atom
* energy of formation from the pure elements: -437 meV/atom



# 9
Computed, not measured: a relaxed K2AuI4 crystal at the GGA-PBE level of DFT.

Cell lengths 9.7425, 9.7427, 9.7423 Å; angles 63.25, 74.04, 105.96 degrees
Element x y z (fractional)
I: 0.8222 0.9537 0.3084
I: 0.6778 0.3815 0.3806
I: 0.2379 0.2963 0.3815
I: 0.2621 0.3084 0.8694
I: 0.3222 0.9416 0.2963
I: 0.7621 0.3806 0.9416
I: 0.7379 0.8685 0.9537
I: 0.1778 0.8694 0.8685
K: 0.0310 0.4060 0.1250
K: 0.5310 0.1250 0.8440
K: 0.9690 0.8440 0.6250
K: 0.4690 0.6250 0.4060
Au: 0.5000 0.2500 0.2500
Au: 0.0000 0.0000 0.0000

Computed properties:
* uncorrected formation energy: -796 meV/atom
* final energy: -2.464 eV per atom
* energy above the most stable polymorph in this dataset: 39 meV per atom



# 10
Computed, not measured: a relaxed LaHf5 crystal at the GGA-PBE level of DFT.

Cell lengths 4.5730, 4.5395, 7.2874 Å; angles 108.15, 90.00, 90.00 degrees
Element x y z (fractional)
Hf: 0.5000 0.8276 0.6551
Hf: 0.0000 0.6737 0.3475
Hf: 0.5000 0.5000 0.0000
Hf: 0.0000 0.3263 0.6525
Hf: 0.5000 0.1724 0.3449
La: 0.0000 0.0000 0.0000

Computed properties:
* final energy: -8.938 eV per atom
* energy of formation from the pure elements: 178 meV/atom



# 11
Computed, not measured: a relaxed Re2TcBr crystal at the GGA-PBE level of DFT.

Cell lengths 5.3546, 5.3546, 5.3546 Å; angles 147.90, 130.59, 60.14 degrees
Element x y z (fractional)
Re: 0.0165 0.0165 0.0000
Re: 0.4835 0.4835 0.0000
Tc: 0.7500 0.2500 0.5000
Br: 0.2500 0.7500 0.5000

Computed properties:
* uncorrected formation energy: 895 meV/atom
* final energy: -8.339 eV per atom
* energy above the most stable polymorph in this dataset: 328 meV per atom



# 12
Computed, not measured: a relaxed NbTl3Bi crystal at the GGA-PBE level of DFT.

Cell lengths 5.9972, 5.9972, 5.9972 Å; angles 90.00, 90.00, 90.00 degrees
Element x y z (fractional)
Tl: 0.0000 0.5000 0.0000
Tl: 0.0000 0.0000 0.5000
Tl: 0.5000 0.0000 0.0000
Bi: 0.0000 0.0000 0.0000
Nb: 0.5000 0.5000 0.5000

Computed properties:
* final energy: -2.897 eV per atom
* energy above the most stable polymorph in this dataset: 592 meV per atom
* energy of formation from the pure elements: 1312 meV/atom



# 13
Computed, not measured: a relaxed ScAgC crystal at the GGA-PBE level of DFT.

Cell lengths 3.1328, 3.2025, 9.5357 Å; angles 72.53, 78.56, 84.92 degrees
Element x y z (fractional)
Sc: 0.9180 0.6047 0.4632
Sc: 0.0447 0.4896 0.1604
C: 0.4009 0.1618 0.3630
C: 0.5618 0.9325 0.2606
Ag: 0.6762 0.2089 0.9155
Ag: 0.2864 0.8855 0.7081

Computed properties:
* final energy: -6.312 eV per atom
* energy of formation from the pure elements: -176 meV/atom



Number 1: volume 22.005 Å³ per atom. Number 2: volume 41.734 Å³ per atom. Number 3: volume 11.505 Å³ per atom. Number 4: volume 26.436 Å³ per atom. Number 5: volume 30.710 Å³ per atom. Number 6: volume 19.146 Å³ per atom. Number 7: volume 17.944 Å³ per atom. Number 8: volume 15.247 Å³ per atom. Number 9: volume 50.223 Å³ per atom. Number 10: volume 23.959 Å³ per atom. Number 11: volume 15.350 Å³ per atom. Number 12: volume 43.140 Å³ per atom. Number 13: volume 14.900 Å³ per atom.